DFT (GGA+U) results for a relaxed Li2TiV3O8 crystal.

abc: 10.3849 5.9434 10.4931
angles: 90.00 110.14 90.00
Space group C2/c (No. 15)
Asymmetric unit:
Li: 0.1880 0.2435 0.3134 [8 per cell]
Ti: 0.2500 0.2500 0.0000 [4 per cell]
V: 0.0000 0.0000 0.0000 [4 per cell]
V: 0.0000 0.2610 0.7500 [4 per cell]
V: 0.0000 0.5000 0.0000 [4 per cell]
O: 0.1062 0.2679 0.6122 [8 per cell]
O: 0.1193 0.0316 0.8815 [8 per cell]
O: 0.1219 0.4809 0.8855 [8 per cell]
O: 0.1248 0.2525 0.1073 [8 per cell]

## Properties
Raw total energy   -424.154 eV for the cell shown